The following is a PBE-GGA calculation of a relaxed ZnP crystal, from Alexandria.

Lattice parameters (Å, degrees): 5.5782 5.5782 3.2947 90.00 90.00 140.57
Fractional positions:
Zn  0.1606  0.8394  0.7500
Zn  0.8394  0.1606  0.2500
P  0.4107  0.5893  0.7500
P  0.5893  0.4107  0.2500

As for the crystal system: orthorhombic. The formation energy comes out at 0.23 eV per atom. The density of states at the Fermi level comes out at 0.22 states/eV per atom. The calculation puts the total energy at -12.45 eV for the cell shown. The calculation puts the magnetic moment at 0.000 μB per cell.